[1]
## V2BiW (PBE-GGA)

Data for a relaxed structure of V2BiW.

Output
electronic total energy: -7.66 eV/atom
energy relative to the elements: 1.104 eV per atom

a = 9.631 Å, b = 9.631 Å, c = 9.631 Å
α = 155.70°, β = 155.70°, γ = 34.64°
Positions (direct):
V: 0.105 0.625 0.980
V: 0.375 0.355 0.480
V: 0.645 0.125 0.020
V: 0.875 0.895 0.520
Bi: 0.250 0.750 0.500
Bi: 0.500 0.500 0.000
W: 0.000 0.000 0.000
W: 0.750 0.250 0.500

[2]
## KCuSbCl6 (PBE-GGA)

Data for a relaxed structure of KCuSbCl6.

Output
electronic total energy: -3.25 eV/atom
raw formation energy: -0.98 eV per atom

a = 6.606 Å, b = 6.817 Å, c = 6.868 Å
α = 92.84°, β = 115.55°, γ = 94.16°
Positions (direct):
K: 0.000 0.000 0.000
Cu: 0.301 0.495 0.670
Sb: 0.643 0.486 0.330
Cl: 0.333 0.662 0.985
Cl: 0.340 0.259 0.440
Cl: 0.577 0.711 0.661
Cl: 0.603 0.220 0.048
Cl: 0.969 0.311 0.633
Cl: 0.971 0.710 0.341

[3]
## Ag4PdO5 (PBE-GGA)

Data for a relaxed structure of Ag4PdO5.

Output
electronic total energy: -4.23 eV/atom
raw formation energy: -0.09 eV per atom

a = 5.917 Å, b = 5.917 Å, c = 5.917 Å
α = 98.02°, β = 98.02°, γ = 136.13°
Positions (direct):
Ag: 0.098 0.712 0.810
Ag: 0.288 0.098 0.387
Ag: 0.712 0.902 0.613
Ag: 0.902 0.288 0.190
Pd: 0.500 0.500 0.000
O: 0.000 0.000 0.000
O: 0.241 0.458 0.698
O: 0.458 0.759 0.217
O: 0.542 0.241 0.783
O: 0.759 0.542 0.302

[4]
## KAgP2O6 (PBE-GGA)

Data for a relaxed structure of KAgP2O6.

Output
electronic total energy: -6.37 eV/atom
raw formation energy: -1.91 eV per atom

a = 6.163 Å, b = 13.345 Å, c = 7.650 Å
α = 90.00°, β = 94.22°, γ = 90.00°
Positions (direct):
K: 0.197 0.169 0.270
K: 0.197 0.331 0.770
K: 0.803 0.669 0.230
K: 0.803 0.831 0.730
Ag: 0.315 0.029 0.700
Ag: 0.315 0.471 0.200
Ag: 0.685 0.529 0.800
Ag: 0.685 0.971 0.300
P: 0.187 0.631 0.849
P: 0.187 0.869 0.349
P: 0.347 0.673 0.494
P: 0.347 0.827 0.994
P: 0.653 0.173 0.006
P: 0.653 0.327 0.506
P: 0.813 0.131 0.651
P: 0.813 0.369 0.151
O: 0.038 0.149 0.594
O: 0.038 0.351 0.094
O: 0.179 0.671 0.649
O: 0.179 0.829 0.149
O: 0.234 0.622 0.338
O: 0.234 0.878 0.838
O: 0.289 0.529 0.864
O: 0.289 0.971 0.364
O: 0.359 0.706 0.954
O: 0.359 0.794 0.454
O: 0.425 0.147 0.940
O: 0.425 0.353 0.440
O: 0.575 0.647 0.560
O: 0.575 0.853 0.060
O: 0.641 0.206 0.546
O: 0.641 0.294 0.046
O: 0.711 0.029 0.636
O: 0.711 0.471 0.136
O: 0.766 0.122 0.162
O: 0.766 0.378 0.662
O: 0.821 0.171 0.851
O: 0.821 0.329 0.351
O: 0.962 0.649 0.906
O: 0.962 0.851 0.406

[5]
## Fe2NiAu (PBE-GGA)

Data for a relaxed structure of Fe2NiAu.

Output
electronic total energy: -6.36 eV/atom
energy relative to the lowest polymorph listed for this composition: 71.3 meV per atom
energy relative to the elements: 0.133 eV per atom

a = 4.223 Å, b = 4.223 Å, c = 4.223 Å
α = 60.00°, β = 60.00°, γ = 60.00°
Positions (direct):
Fe: 0.000 0.000 0.000
Fe: 0.250 0.250 0.250
Ni: 0.750 0.750 0.750
Au: 0.500 0.500 0.500

[6]
## Y2MgCl (PBE-GGA)

Data for a relaxed structure of Y2MgCl.

Output
electronic total energy: -4.51 eV/atom
raw formation energy: -0.42 eV per atom
energy relative to the lowest polymorph listed for this composition: 229.1 meV per atom

a = 5.607 Å, b = 5.607 Å, c = 3.316 Å
α = 90.93°, β = 90.93°, γ = 89.89°
Positions (direct):
Y: 0.000 0.500 0.000
Y: 0.500 0.000 0.000
Mg: 0.000 0.000 0.500
Cl: 0.500 0.500 0.500

[7]
## LaDyCuTc (PBE-GGA)

Data for a relaxed structure of LaDyCuTc.

Output
electronic total energy: -6.01 eV/atom
energy relative to the elements: -0.007 eV per atom

a = 4.983 Å, b = 4.983 Å, c = 4.983 Å
α = 60.00°, β = 60.00°, γ = 60.00°
Positions (direct):
La: 0.000 0.000 0.000
Dy: 0.500 0.500 0.500
Cu: 0.250 0.250 0.250
Tc: 0.750 0.750 0.750

[8]
## NbV2Os (PBE-GGA)

Data for a relaxed structure of NbV2Os.

Output
electronic total energy: -9.45 eV/atom
energy relative to the elements: 0.431 eV per atom

a = 5.599 Å, b = 5.599 Å, c = 5.599 Å
α = 103.06°, β = 103.06°, γ = 123.22°
Positions (direct):
Nb: 0.000 0.000 0.000
Nb: 0.750 0.250 0.500
V: 0.149 0.625 0.024
V: 0.375 0.399 0.524
V: 0.601 0.125 0.976
V: 0.875 0.851 0.476
Os: 0.250 0.750 0.500
Os: 0.500 0.500 0.000

Which value of electronic total energy does entry 6 give?
-4.51 eV/atom